First-principles (PBE-GGA) data for a relaxed structure of SrFe2Os, as listed in Alexandria.

Computed properties:
Theoretical density: 8.8 g/cm3

Cell lengths 4.0664, 2.8724, 6.4919 Å; angles 77.03, 90.00, 90.00 degrees
Last column: magnetic moment on the atom in μB.
Element x y z (fractional)
Fe (0.0000, 0.1601, 0.0736)  2.35
Fe (0.5000, 0.0323, 0.2805)  2.25
Os (0.0000, 0.4920, 0.3900)  0.09
Sr (0.5000, 0.8156, 0.7559)  -0.03

First-principles (PBE-GGA) data for a relaxed structure of SrFe2Os, as listed in Alexandria.

Computed properties:
Theoretical density: 7.8 g/cm3

Cell lengths 4.1685, 4.1685, 6.0380 Å; angles 69.78, 69.78, 60.00 degrees
Last column: magnetic moment on the atom in μB.
Element x y z (fractional)
Fe (0.9385, 0.9385, 0.1847)  2.22
Fe (0.2456, 0.2456, 0.2630)  1.73
Os (0.5644, 0.5644, 0.3068)  -0.06
Sr (0.7515, 0.7515, 0.7455)  -0.04

First-principles (PBE-GGA) data for a relaxed structure of SrFe2Os, as listed in Alexandria.

Computed properties:
Theoretical density: 9.4 g/cm3

Cell lengths 4.5955, 4.5955, 4.5955 Å; angles 60.00, 60.00, 60.00 degrees
Last column: magnetic moment on the atom in μB.
Element x y z (fractional)
Fe (0.0000, 0.0000, 0.0000)  2.69
Fe (0.2500, 0.2500, 0.2500)  2.89
Os (0.5000, 0.5000, 0.5000)  0.83
Sr (0.7500, 0.7500, 0.7500)  -0.04

no.,offset from the most stable computed form (meV per atom),M_tot (μB/atom),formation energy (eV per atom)
1,324,1.18,0.665
2,0,0.94,0.342
3,701,1.56,1.043